A relaxed structure of Lu3Co5O12, computed with GGA+U.

Values from the calculation:
Calculated volume, A^3/atom: 11.067
Total DFT energy (no corrections), eV per atom: -6.8879

abc: 12.0981 12.0981 12.0981
angles: 90.00 90.00 90.00
Space group Ia-3d (No. 230)
Inequivalent atoms, fractional coordinates:
Lu 0.0000 0.2500 0.1250 [24 per cell]
Co 0.0000 0.0000 0.0000 [16 per cell]
Co 0.0000 0.2500 0.3750 [24 per cell]
O 0.0247 0.0563 0.6488 [96 per cell]